## TaNbB2 (GGA-PBE)

Data for crystalline TaNbB2 at its relaxed geometry.

Lattice parameters (Å, degrees): 3.3063 3.1740 4.6782 90.00 110.69 90.00
Last column: nearest neighbours and their distance in Å.
Sites, in units of the cell vectors:
1 Nb 0.4367 0.5000 0.4136  7 B 2.42-2.59
2 B 0.1420 0.5000 0.8222  2 B 1.89
3 B 0.0243 0.0000 0.5883  2 B 1.89
4 Ta 0.7281 0.0000 0.9940  7 B 2.41-2.60

Values from the calculation:
energy of formation	-0.81	eV per atom
E above lowest polymorph	0	meV/atom
volume	45.9	Å³ per cell



## CdIn2Ni (GGA-PBE)

Data for crystalline CdIn2Ni at its relaxed geometry.

Lattice parameters (Å, degrees): 3.1468 3.0961 8.4213 90.00 90.00 90.00
Last column: nearest neighbours and their distance in Å.
Sites, in units of the cell vectors:
1 Ni 0.5000 0.5000 0.2500  8 In 2.76
2 In 0.0000 0.0000 0.0535  4 Ni 2.76
3 In 0.0000 0.0000 0.4465  4 Ni 2.76
4 Cd 0.5000 0.5000 0.7500  4 Cd 3.10-3.15, 8 In 3.38

Values from the calculation:
energy of formation	0.04	eV per atom
volume	82.0	Å³ per cell



## TiTlPb3 (GGA-PBE)

Data for crystalline TiTlPb3 at its relaxed geometry.

Lattice parameters (Å, degrees): 5.7451 5.7451 5.7451 90.00 90.00 90.00
Last column: nearest neighbours and their distance in Å.
Sites, in units of the cell vectors:
1 Pb 0.0000 0.0000 0.5000  2 Tl 2.87
2 Pb 0.5000 0.0000 0.0000  2 Tl 2.87
3 Pb 0.0000 0.5000 0.0000  2 Tl 2.87
4 Ti 0.5000 0.5000 0.5000  12 Pb 4.06
5 Tl 0.0000 0.0000 0.0000  6 Pb 2.87

Values from the calculation:
energy of formation	1.17	eV per atom
E above lowest polymorph	1009	meV/atom
volume	189.6	Å³ per cell



## BaZr3Re (GGA-PBE)

Data for crystalline BaZr3Re at its relaxed geometry.

Lattice parameters (Å, degrees): 5.2538 5.2538 5.2538 90.00 90.00 90.00
Last column: nearest neighbours and their distance in Å.
Sites, in units of the cell vectors:
1 Zr 0.0000 0.0000 0.5000  2 Re 2.63
2 Zr 0.0000 0.5000 0.0000  2 Re 2.63
3 Zr 0.5000 0.0000 0.0000  2 Re 2.63
4 Ba 0.5000 0.5000 0.5000  12 Zr 3.72
5 Re 0.0000 0.0000 0.0000  6 Zr 2.63

Values from the calculation:
energy of formation	0.43	eV per atom
E above lowest polymorph	0	meV/atom
volume	145.0	Å³ per cell



## TmScTlCo (GGA-PBE)

Data for crystalline TmScTlCo at its relaxed geometry.

Lattice parameters (Å, degrees): 4.9203 4.9203 4.9203 60.00 60.00 60.00
Last column: nearest neighbours and their distance in Å.
Sites, in units of the cell vectors:
1 Tl 0.2500 0.2500 0.2500  4 Tm 3.01, 4 Sc 3.01
2 Co 0.7500 0.7500 0.7500  4 Sc 3.01, 4 Tm 3.01
3 Sc 0.0000 0.0000 0.0000  4 Co 3.01, 4 Tl 3.01
4 Tm 0.5000 0.5000 0.5000  4 Tl 3.01, 4 Co 3.01

Values from the calculation:
energy of formation	-0.14	eV per atom
E above lowest polymorph	157	meV/atom
volume	84.2	Å³ per cell



## Rb3In2H6 (GGA-PBE)

Data for crystalline Rb3In2H6 at its relaxed geometry.

Lattice parameters (Å, degrees): 4.6101 4.6101 10.8404 78.04 78.04 89.97
Last column: nearest neighbours and their distance in Å.
Sites, in units of the cell vectors:
1 H 0.0351 0.5977 0.8158  1 In 1.97
2 H 0.9649 0.4023 0.1842  1 In 1.97
3 H 0.6548 0.6548 0.6382  1 In 2.01
4 H 0.3452 0.3452 0.3618  1 In 2.01
5 H 0.5977 0.0351 0.8158  1 In 1.97
6 H 0.4023 0.9649 0.1842  1 In 1.97
7 In 0.6032 0.6032 0.8301  3 H 1.97-2.01
8 In 0.3968 0.3968 0.1699  3 H 1.97-2.01
9 Rb 0.0000 0.0000 0.0000  8 H 2.98-3.03
10 Rb 0.8069 0.8069 0.3583  6 H 2.90-3.00
11 Rb 0.1931 0.1931 0.6417  6 H 2.90-3.00

Values from the calculation:
volume	220.3	Å³ per cell
energy	-2.6182	eV/atom



Please write out number 2 again, unchanged.
## CdIn2Ni (GGA-PBE)

Data for crystalline CdIn2Ni at its relaxed geometry.

Lattice parameters (Å, degrees): 3.1468 3.0961 8.4213 90.00 90.00 90.00
Last column: nearest neighbours and their distance in Å.
Sites, in units of the cell vectors:
1 Ni 0.5000 0.5000 0.2500  8 In 2.76
2 In 0.0000 0.0000 0.0535  4 Ni 2.76
3 In 0.0000 0.0000 0.4465  4 Ni 2.76
4 Cd 0.5000 0.5000 0.7500  4 Cd 3.10-3.15, 8 In 3.38

Values from the calculation:
energy of formation	0.04	eV per atom
volume	82.0	Å³ per cell